Record 1
{"formula": "Pm2Hg2Rh4C", "functional": "PBE", "state": "relaxed", "cell": [[-1.1901, -4.2146, 4.3228], [-1.3086, -1.1583, -5.9002], [5.8117, 1.2606, -1.5815]], "species": ["Rh", "Rh", "Rh", "Rh", "Pm", "Pm", "Hg", "Hg", "C"], "fractional_positions": [[0.5255, 0.7627, 0.7627], [0.0000, 0.7627, 0.2373], [0.0000, 0.2373, 0.7627], [0.4745, 0.2373, 0.2373], [0.0000, 0.7130, 0.7130], [0.0000, 0.2870, 0.2870], [0.5000, 0.2500, 0.7500], [0.5000, 0.7500, 0.2500], [0.0000, 0.0000, 0.0000]], "magmom_total_mub_per_cell": 0.000}

---

Record 2
{"formula": "Pm3Hg2Ru3C", "functional": "PBE", "state": "relaxed", "cell": [[-2.3692, 0.2253, -2.5046], [-4.6522, -4.8525, 3.9643], [-0.4965, 7.7012, 1.1623]], "species": ["Pm", "Pm", "Pm", "Hg", "Hg", "C", "Ru", "Ru", "Ru"], "fractional_positions": [[0.0000, 0.6558, 0.6558], [0.0000, 0.0000, 0.3442], [0.0000, 0.3442, 0.0000], [0.5000, 0.6667, 0.3333], [0.5000, 0.3333, 0.6667], [0.0000, 0.0000, 0.0000], [0.5000, 0.0000, 0.7971], [0.5000, 0.2029, 0.2029], [0.5000, 0.7971, 0.0000]], "magmom_total_mub_per_cell": 0.000}

---

Record 3
{"formula": "Pm2HgRuC", "functional": "PBE", "state": "relaxed", "cell": [[3.9314, 0.0000, 0.0000], [0.0000, 5.2218, 0.0000], [0.0000, 0.0000, 5.2218]], "species": ["C", "Pm", "Pm", "Ru", "Hg"], "fractional_positions": [[0.0000, 0.0000, 0.0000], [0.0000, 0.5000, 0.0000], [0.0000, 0.0000, 0.5000], [0.5000, 0.0000, 0.0000], [0.5000, 0.5000, 0.5000]], "magmom_total_mub_per_cell": 0.000}

---

Computed values of E (unit: eV/f.u.) for the preceding records, in sequence: -50.66 -52.18 -30.18.
Computed values of density of states at the Fermi level (unit: states/eV/f.u.) for the preceding records, in sequence: 4.4 7.1 2.1.